Record 1
The following is a DFT calculation (GGA-PBE) of an optimized crystal structure of Tb2PbI.

## Properties
- offset from the most stable computed form (eV/atom) = 0.037
- energy relative to the elements, uncorrected (meV per atom) = -604

Cell and atoms, written as extended XYZ:
```
4
Lattice="2.213 1.278 7.687 -2.213 1.278 7.687 0.000 -2.555 7.687" Properties=species:S:1:pos:R:3 pbc="T T T"
Tb 0.000 0.000 0.000
Tb 0.000 0.000 4.398
Pb 0.000 0.000 13.681
I 0.000 0.000 17.610
```

Record 2
The following is a DFT calculation (GGA-PBE) of an optimized crystal structure of Pr4Al7Ga6.

## Properties
- electronic total energy (eV for the cell shown) = -71.22

Cell and atoms, written as extended XYZ:
```
17
Lattice="-4.461 4.461 4.461 4.461 -4.461 4.461 4.461 4.461 -4.461" Properties=species:S:1:pos:R:3 pbc="T T T"
Pr 2.230 2.230 -2.230
Pr 2.230 -2.230 2.230
Pr -2.230 2.230 2.230
Pr 2.230 2.230 2.230
Al 0.000 0.000 0.000
Al 4.461 2.230 0.000
Al 4.461 0.000 2.230
Al 2.230 4.461 0.000
Al 2.230 0.000 4.461
Al 0.000 4.461 2.230
Al 0.000 2.230 4.461
Ga 2.785 0.000 0.000
Ga 6.136 0.000 0.000
Ga 0.000 2.785 0.000
Ga 0.000 0.000 2.785
Ga 0.000 6.136 0.000
Ga 0.000 0.000 6.136
```

Record 3
The following is a DFT calculation (GGA-PBE) of an optimized crystal structure of Mg3FeW.

## Properties
- offset from the most stable computed form (eV/atom) = 0.000

Cell and atoms, written as extended XYZ:
```
5
Lattice="4.561 0.000 0.000 0.000 4.561 0.000 0.000 0.000 4.561" Properties=species:S:1:pos:R:3 pbc="T T T"
Mg 0.000 0.000 2.280
Mg 0.000 2.280 0.000
Mg 2.280 0.000 0.000
Fe 0.000 0.000 0.000
W 2.280 2.280 2.280
```

Record 4
The following is a DFT calculation (GGA-PBE) of an optimized crystal structure of Y2NiBS.

## Properties
- offset from the most stable computed form (eV/atom) = 0.959
- energy relative to the elements, uncorrected (meV per atom) = 240

Cell and atoms, written as extended XYZ:
```
5
Lattice="5.197 0.000 0.000 0.000 5.197 0.000 0.000 0.000 3.945" Properties=species:S:1:pos:R:3 pbc="T T T"
Y 0.000 2.599 0.000
Y 2.599 0.000 0.000
Ni 0.000 0.000 0.000
B 2.599 2.599 1.973
S 0.000 0.000 1.973
```

Record 5
The following is a DFT calculation (GGA-PBE) of an optimized crystal structure of Cu3W.

## Properties
- electronic total energy (eV for the cell shown) = -96.15

Cell and atoms, written as extended XYZ:
```
16
Lattice="4.488 0.000 0.000 0.000 8.822 0.000 0.000 0.000 5.355" Properties=species:S:1:pos:R:3 pbc="T T T"
Cu 0.305 2.205 0.729
Cu 1.106 4.449 4.667
Cu 1.106 8.784 4.667
Cu 1.138 0.038 1.989
Cu 1.138 4.373 1.989
Cu 1.939 6.616 3.406
Cu 2.549 2.205 1.949
Cu 3.350 4.449 3.365
Cu 3.350 8.784 3.365
Cu 3.382 0.038 0.688
Cu 3.382 4.373 0.688
Cu 4.184 6.616 4.626
W 0.267 2.205 3.335
W 1.977 6.616 0.657
W 2.511 2.205 4.697
W 4.221 6.616 2.020
```

Record 6
The following is a DFT calculation (GGA-PBE) of an optimized crystal structure of NaIn8Ag2.

## Properties
- electronic total energy (eV for the cell shown) = -28.56

Cell and atoms, written as extended XYZ:
```
11
Lattice="6.893 -3.779 0.000 6.893 3.779 0.000 -0.904 0.000 5.658" Properties=species:S:1:pos:R:3 pbc="T T T"
Na 0.000 0.000 0.000
In 4.937 1.659 3.333
In 2.183 0.000 4.460
In 7.945 1.659 2.325
In 5.572 0.000 0.683
In 7.311 0.000 4.975
In 4.937 -1.659 3.333
In 10.700 0.000 1.198
In 7.945 -1.659 2.325
Ag 2.857 0.000 1.623
Ag 10.026 0.000 4.035
```

Record 7
The following is a DFT calculation (GGA-PBE) of an optimized crystal structure of K2VMoRh.

## Properties
- electronic total energy (eV for the cell shown) = -20.86

Cell and atoms, written as extended XYZ:
```
5
Lattice="6.048 0.000 0.000 0.000 6.048 0.000 0.000 0.000 4.699" Properties=species:S:1:pos:R:3 pbc="T T T"
K 0.000 3.024 0.000
K 3.024 0.000 0.000
V 0.000 0.000 2.349
Mo 3.024 3.024 2.349
Rh 3.024 3.024 0.000
```

Record 8
The following is a DFT calculation (GGA-PBE) of an optimized crystal structure of Tb3PrPb2.

## Properties
- offset from the most stable computed form (eV/atom) = 0.000

Cell and atoms, written as extended XYZ:
```
6
Lattice="4.599 0.000 0.000 0.000 4.599 0.000 0.000 0.000 8.751" Properties=species:S:1:pos:R:3 pbc="T T T"
Tb 0.000 0.000 0.000
Tb 0.000 2.300 5.730
Tb 2.300 0.000 3.021
Pr 2.300 2.300 0.000
Pb 0.000 2.300 2.534
Pb 2.300 0.000 6.217
```

Record 9
The following is a DFT calculation (GGA-PBE) of an optimized crystal structure of TbBeAlPt3.

## Properties
- electronic total energy (eV for the cell shown) = -69.62

Cell and atoms, written as extended XYZ:
```
12
Lattice="3.417 -5.836 0.000 3.417 5.836 0.000 0.000 0.000 5.497" Properties=species:S:1:pos:R:3 pbc="T T T"
Tb 3.417 3.470 4.123
Tb 3.417 -3.470 1.374
Be 3.417 4.509 1.374
Be 3.417 -4.509 4.123
Al 3.417 0.271 4.123
Al 3.417 -0.271 1.374
Pt 1.378 0.000 0.000
Pt 1.378 0.000 2.749
Pt 3.417 2.280 1.374
Pt 3.417 -2.280 4.123
Pt 5.457 0.000 0.000
Pt 5.457 0.000 2.749
```

Record 10
The following is a DFT calculation (GGA-PBE) of an optimized crystal structure of HfVCd2.

## Properties
- offset from the most stable computed form (eV/atom) = 0.000

Cell and atoms, written as extended XYZ:
```
4
Lattice="0.000 3.414 3.414 3.414 0.000 3.414 3.414 3.414 0.000" Properties=species:S:1:pos:R:3 pbc="T T T"
Hf 0.000 0.000 0.000
V 3.414 3.414 3.414
Cd 1.707 1.707 1.707
Cd 5.122 5.122 5.122
```

Record 11
The following is a DFT calculation (GGA-PBE) of an optimized crystal structure of Sc2Ga8Tc.

## Properties
- electronic total energy (eV for the cell shown) = -51.63

Cell and atoms, written as extended XYZ:
```
11
Lattice="4.146 0.000 0.000 0.000 4.146 0.000 0.000 0.000 11.177" Properties=species:S:1:pos:R:3 pbc="T T T"
Sc 0.000 0.000 2.079
Sc 0.000 0.000 9.098
Ga 0.000 2.073 0.000
Ga 0.000 2.073 4.125
Ga 0.000 2.073 7.053
Ga 2.073 0.000 0.000
Ga 2.073 0.000 4.125
Ga 2.073 0.000 7.053
Ga 2.073 2.073 2.074
Ga 2.073 2.073 9.103
Tc 0.000 0.000 5.589
```

Record 12
The following is a DFT calculation (GGA-PBE) of an optimized crystal structure of RbHoCdO3.

## Properties
- energy relative to the elements, uncorrected (meV per atom) = -2083

Cell and atoms, written as extended XYZ:
```
12
Lattice="6.928 0.000 0.000 0.000 3.574 0.000 -2.891 0.000 9.093" Properties=species:S:1:pos:R:3 pbc="T T T"
Rb 0.401 0.893 1.634
Rb 3.637 2.680 7.459
Ho 0.197 0.893 7.691
Ho 3.840 2.680 1.402
Cd -0.255 2.680 4.950
Cd 4.293 0.893 4.142
O -1.522 0.893 5.988
O -0.638 2.680 8.926
O 1.095 2.680 6.555
O 2.942 0.893 2.537
O 4.676 0.893 0.167
O 5.559 2.680 3.104
```

no.,Fermi-level density of states (states/eV per atom)
1,0.80
2,0.37
3,1.60
4,1.24
5,0.55
6,0.38
7,2.26
8,0.92
9,0.50
10,1.14
11,0.26
12,0.00